(1)
PBE-GGA HoScMnAg, optimized geometry; calculated volume = 84.40 Å³/f.u.; energy of formation = 0.01 eV/f.u.; D(E_F) = 6.2 states/eV per cell
1.0
4.924 0.000 0.000
2.462 4.264 0.000
2.462 1.421 4.020
Ho Sc Mn Ag
1 1 1 1
direct
0.000 0.000 0.000
0.500 0.500 0.500
0.750 0.750 0.750
0.250 0.250 0.250

(2)
PBE-GGA SmHoMnAg, optimized geometry; calculated volume = 95.46 Å³/f.u.; energy of formation = 0.04 eV/f.u.; D(E_F) = 4.1 states/eV per cell
1.0
5.130 0.000 0.000
2.565 4.443 0.000
2.565 1.481 4.189
Ho Ag Sm Mn
1 1 1 1
direct
0.500 0.500 0.500
0.250 0.250 0.250
0.000 0.000 0.000
0.750 0.750 0.750